First-principles (PBE) data for an optimized crystal structure of Ho4MgSc2, as listed in Alexandria.

Cell: 3.4094 8.3737 15.9869 Å, 94.99 64.77 101.77°
Fractional positions:
Mg: 0.4901 0.9878 0.7500
Ho: 0.8115 0.6243 0.7500
Ho: 0.9389 0.3016 0.8556
Ho: 0.5000 0.0000 0.0000
Ho: 0.6385 0.6984 0.3556
Ho: 0.5000 0.0000 0.5000
Ho: 0.1885 0.3757 0.2500
Ho: 0.3615 0.3016 0.6444
Sc: 0.2698 0.3509 0.4529
Sc: 0.7302 0.6491 0.5471
Mg: 0.5099 0.0122 0.2500
Sc: 0.0813 0.3509 0.0471
Ho: 0.0611 0.6984 0.1444
Sc: 0.9187 0.6491 0.9529

Energy, eV/cell: -63.51
N(E_F), states/eV/cell: 20.8
Symmetry: P2_1/m, No. 11
Formation energy, eV per atom: 0.1164